(1)
The following is a PBE-GGA calculation of a geometry-optimized MnMoAs2Br structure, from the Alexandria database.

Cell: 4.8398 4.8398 5.4166 Å, 90.00 90.00 90.00°
Last column: nearest neighbours and their distance in Å.
Fractional coordinates of all 5 atoms:
1 Mo 0.0000 0.0000 0.0000  4 As 2.42, 2 Br 2.71
2 Mn 0.5000 0.5000 0.5000  4 Br 3.42, 8 As 3.63
3 As 0.0000 0.5000 0.0000  2 Mo 2.42
4 As 0.5000 0.0000 0.0000  2 Mo 2.42
5 Br 0.0000 0.0000 0.5000  2 Mo 2.71

Results
volume = 127 Å³/cell
energy = -0.411 Ry per atom
energy relative to the elements, uncorrected = 609 meV/atom
E above lowest polymorph = 0.000 eV per atom

***

(2)
The following is a PBE-GGA calculation of a geometry-optimized DyGaAg2 structure, from the Alexandria database.

Cell: 4.3602 4.3697 4.3697 Å, 90.00 90.00 90.00°
Last column: nearest neighbours and their distance in Å.
Fractional coordinates of all 4 atoms:
1 Ga 0.5000 0.0000 0.0000  8 Ag 3.09, 4 Dy 3.09
2 Ag 0.0000 0.0000 0.5000  4 Dy 3.09, 4 Ga 3.09, 4 Ag 3.09
3 Ag 0.0000 0.5000 0.0000  4 Dy 3.09, 4 Ga 3.09, 4 Ag 3.09
4 Dy 0.5000 0.5000 0.5000  8 Ag 3.09, 4 Ga 3.09

Results
volume = 83 Å³/cell
energy = -0.261 Ry per atom
E above lowest polymorph = 0.110 eV per atom
energy of formation from the pure elements = -0.222 eV/atom

***

(3)
The following is a PBE-GGA calculation of a geometry-optimized ZnCr2Hg structure, from the Alexandria database.

Cell: 2.6611 2.6611 8.2817 Å, 90.00 90.00 90.00°
Last column: nearest neighbours and their distance in Å.
Fractional coordinates of all 4 atoms:
1 Cr 0.0000 0.0000 0.9814  4 Cr 2.66, 4 Zn 2.69, 4 Hg 2.91
2 Cr 0.0000 0.0000 0.5186  4 Cr 2.66, 4 Zn 2.69, 4 Hg 2.91
3 Hg 0.5000 0.5000 0.2500  4 Hg 2.66, 8 Cr 2.91
4 Zn 0.5000 0.5000 0.7500  4 Zn 2.66, 8 Cr 2.69

Results
volume = 59 Å³/cell
energy = -0.337 Ry per atom
E above lowest polymorph = 0.376 eV per atom
energy of formation from the pure elements = 0.626 eV/atom

***

Q: What is the formula in the second record?
A: DyGaAg2

***

Q: Among the records above, which one has the lowest E above lowest polymorph?
A: MnMoAs2Br